No. 1
CaMnP2 | PBE | relaxed

- Volume: 77 Å³/f.u.
- Energy of formation from the pure elements: -424 meV per atom
- Theoretical density: 3.398 g/cm³
- Offset from the most stable computed form: 331 meV per atom
- Space-group type: Immm

a b c (Å): 4.815 4.815 4.815
angles (deg): 130.21 106.47 94.06
Last column: magnetic moment on the atom in μB.
Sites, in units of the cell vectors:
Ca (0.750, 0.250, 0.500)  -0.02
P (0.432, 0.432, 0.000)  -0.06
P (0.068, 0.068, 0.000)  -0.06
Mn (0.250, 0.750, 0.500)  3.17

No. 2
PmHoScPb | PBE | relaxed

- Volume: 110 Å³/f.u.
- Energy of formation from the pure elements: -75 meV per atom
- Theoretical density: 8.514 g/cm³
- Space-group type: F-43m

a b c (Å): 5.372 5.372 5.372
angles (deg): 60.00 60.00 60.00
Last column: magnetic moment on the atom in μB.
Sites, in units of the cell vectors:
Sc (0.750, 0.750, 0.750)  0.28
Pm (0.500, 0.500, 0.500)  0.37
Ho (0.250, 0.250, 0.250)  0.25
Pb (0.000, 0.000, 0.000)  -0.01

No. 3
Sr2SiSe | PBE | relaxed

- Volume: 112 Å³/f.u.
- Theoretical density: 4.194 g/cm³
- Offset from the most stable computed form: 107 meV per atom
- Space-group type: Cmmm

a b c (Å): 8.140 5.479 3.755
angles (deg): 90.02 62.49 125.77
Sites, in units of the cell vectors:
Si (0.500, 0.500, 0.000)
Se (0.000, 0.500, 0.500)
Sr (0.500, 0.000, 0.500)
Sr (0.000, 0.000, 0.000)

No. 4
Ge3HRu | PBE | relaxed

- Volume: 70 Å³/f.u.
- Theoretical density: 7.545 g/cm³
- Offset from the most stable computed form: 0 meV per atom
- Space-group type: Pm-3m

a b c (Å): 4.130 4.130 4.130
angles (deg): 90.00 90.00 90.00
Sites, in units of the cell vectors:
Ge (0.000, 0.500, 0.000)
Ge (0.500, 0.000, 0.000)
Ge (0.000, 0.000, 0.500)
H (0.000, 0.000, 0.000)
Ru (0.500, 0.500, 0.500)